Entry 1:
The following is a DFT calculation (PBE-GGA) of RbTl3 after structural relaxation.

abc: 4.1750 6.1229 11.4073
angles: 90.00 90.00 90.00
Closest atoms and distances in Å follow each position.
Space group Immm (No. 71)
Inequivalent atoms, fractional coordinates:
Rb (0.0000, 0.0000, 0.0000)  12 Tl 3.71-4.00
Tl (0.0000, 0.0000, 0.5000)  4 Tl 3.31, 4 Rb 3.71
Tl (0.0000, 0.5000, 0.2250)  2 Tl 3.31

total energy = -2.020 eV per atom
DOS at the Fermi energy = 2.2 states/eV/f.u.
formation enthalpy at 0 K = -0.004 eV per atom


Entry 2:
The following is a DFT calculation (PBE-GGA) of KCd12Au6 after structural relaxation.

abc: 12.6895 12.6895 9.7051
angles: 90.00 90.00 120.00
Closest atoms and distances in Å follow each position.
Space group R-3m (No. 166, hexagonal axes)
Inequivalent atoms, fractional coordinates:
K (0.0000, 0.0000, 0.0000)  6 Cd 3.61
Cd (0.0000, 0.3850, 0.5000)  4 Au 2.80-2.87, 3 Cd 2.92-3.09
Cd (0.0859, 0.1718, 0.3172)  3 Au 2.87-2.89, 2 Cd 3.09
Au (0.0487, 0.5244, 0.2511)  7 Cd 2.80-2.89

total energy = -1.830 eV per atom
DOS at the Fermi energy = 7.7 states/eV/f.u.
formation enthalpy at 0 K = -0.160 eV per atom


Entry 3:
The following is a DFT calculation (PBE-GGA) of Be2CrAg after structural relaxation.

abc: 2.8847 4.0277 8.3659
angles: 90.00 90.00 90.00
Closest atoms and distances in Å follow each position.
Space group Imm2 (No. 44)
Inequivalent atoms, fractional coordinates:
Be (0.0000, 0.0000, 0.0000)  2 Be 2.24, 4 Ag 2.50
Be (0.0000, 0.5000, 0.2957)  2 Be 2.24, 4 Cr 2.49
Cr (0.0000, 0.5000, 0.7658)  6 Be 2.49-2.65, 4 Ag 2.73-2.74
Ag (0.0000, 0.0000, 0.5434)  6 Be 2.50-2.56, 4 Cr 2.73-2.74

total energy = -4.640 eV per atom
DOS at the Fermi energy = 2.1 states/eV/f.u.
E above lowest polymorph = 130.8 meV per atom
formation enthalpy at 0 K = 0.342 eV per atom